Below is a relaxed structure of LiBPO2, with properties calculated at the PBE-GGA level.

Values from the calculation:
Energy above the most stable polymorph in this dataset = 1062.3 meV/atom
Formation energy (no corrections) = 0.874 eV per atom

Cell: 3.2995 3.2995 4.8728 Å, 90.00 90.00 90.00°
Space group P4/mmm (No. 123)
Inequivalent atoms, fractional coordinates:
Li (0.0000, 0.0000, 0.0000)
B (0.5000, 0.5000, 0.5000)
P (0.0000, 0.0000, 0.5000)
O (0.0000, 0.5000, 0.0000)